{
  "formula": "PrDyTeAs",
  "functional": "PBE",
  "state": "optimized geometry",
  "volume_a3_per_cell": 348,
  "total_energy_ev_per_atom": -5.7568,
  "raw_formation_energy_ev_per_atom": -1.464,
  "m_tot_mub_per_cell": 0.00,
  "cell": [[4.222, 0.000, 0.000], [-2.111, 3.656, 0.000], [0.000, 0.000, 22.552]],
  "species": ["Pr", "Pr", "Pr", "Dy", "Dy", "Dy", "Te", "Te", "Te", "As", "As", "As"],
  "fractional_positions": [[0.000, 0.000, 0.000], [0.333, 0.667, 0.667], [0.667, 0.333, 0.333], [0.000, 0.000, 0.189], [0.333, 0.667, 0.856], [0.667, 0.333, 0.522], [0.000, 0.000, 0.431], [0.333, 0.667, 0.097], [0.667, 0.333, 0.764], [0.000, 0.000, 0.592], [0.333, 0.667, 0.259], [0.667, 0.333, 0.925]]
}

---

{
  "formula": "PrDy3Th2As6",
  "functional": "PBE",
  "state": "optimized geometry",
  "volume_a3_per_cell": 313,
  "total_energy_ev_per_atom": -6.6040,
  "formation_energy_ev_per_atom": -1.494,
  "m_tot_mub_per_cell": 0.00,
  "cell": [[9.132, -2.103, 0.000], [9.132, 2.103, 0.000], [-1.880, 0.000, 8.160]],
  "species": ["Pr", "Dy", "Dy", "Dy", "Th", "Th", "As", "As", "As", "As", "As", "As"],
  "fractional_positions": [[0.000, 0.000, 0.000], [0.000, 0.000, 0.500], [0.335, 0.335, 0.166], [0.665, 0.665, 0.834], [0.334, 0.334, 0.669], [0.666, 0.666, 0.331], [0.165, 0.165, 0.587], [0.170, 0.170, 0.080], [0.499, 0.499, 0.258], [0.501, 0.501, 0.742], [0.830, 0.830, 0.920], [0.835, 0.835, 0.413]]
}

---

{
  "formula": "Pr2DyThAs4",
  "functional": "PBE",
  "state": "optimized geometry",
  "volume_a3_per_cell": 217,
  "total_energy_ev_per_atom": -6.5264,
  "formation_energy_ev_per_atom": -1.504,
  "m_tot_mub_per_cell": 0.00,
  "cell": [[7.340, 0.000, 0.000], [0.000, 4.253, 0.000], [-2.452, 0.000, 6.953]],
  "species": ["Pr", "Pr", "Dy", "Th", "As", "As", "As", "As"],
  "fractional_positions": [[0.000, 0.000, 0.000], [0.500, 0.500, 0.000], [0.000, 0.500, 0.500], [0.500, 0.000, 0.500], [0.244, 0.000, 0.740], [0.250, 0.500, 0.258], [0.750, 0.500, 0.742], [0.756, 0.000, 0.260]]
}

---

{
  "formula": "Pr2DyTh3As6",
  "functional": "PBE",
  "state": "optimized geometry",
  "volume_a3_per_cell": 326,
  "total_energy_ev_per_atom": -6.8249,
  "formation_energy_ev_per_atom": -1.465,
  "m_tot_mub_per_cell": 0.00,
  "cell": [[9.262, -2.128, 0.000], [9.262, 2.128, 0.000], [-1.926, 0.000, 8.264]],
  "species": ["Pr", "Pr", "Dy", "Th", "Th", "Th", "As", "As", "As", "As", "As", "As"],
  "fractional_positions": [[0.166, 0.166, 0.333], [0.834, 0.834, 0.667], [0.500, 0.500, 0.000], [0.167, 0.167, 0.834], [0.500, 0.500, 0.500], [0.833, 0.833, 0.166], [0.002, 0.002, 0.755], [0.335, 0.335, 0.414], [0.336, 0.336, 0.921], [0.664, 0.664, 0.079], [0.665, 0.665, 0.586], [0.998, 0.998, 0.245]]
}

---

{
  "formula": "PrDyTh2As4",
  "functional": "PBE",
  "state": "optimized geometry",
  "volume_a3_per_cell": 215,
  "total_energy_ev_per_atom": -6.8141,
  "formation_energy_ev_per_atom": -1.462,
  "m_tot_mub_per_cell": 0.00,
  "cell": [[7.313, 0.000, 0.000], [0.000, 4.243, 0.000], [-2.469, 0.000, 6.924]],
  "species": ["Pr", "Dy", "Th", "Th", "As", "As", "As", "As"],
  "fractional_positions": [[0.000, 0.000, 0.000], [0.000, 0.500, 0.500], [0.500, 0.000, 0.500], [0.500, 0.500, 0.000], [0.247, 0.000, 0.744], [0.251, 0.500, 0.255], [0.749, 0.500, 0.745], [0.753, 0.000, 0.256]]
}

---

{
  "formula": "PrDy2ThAs4",
  "functional": "PBE",
  "state": "optimized geometry",
  "volume_a3_per_cell": 209,
  "total_energy_ev_per_atom": -6.5084,
  "formation_energy_ev_per_atom": -1.508,
  "m_tot_mub_per_cell": 0.00,
  "cell": [[7.251, 0.000, 0.000], [0.000, 4.207, 0.000], [-2.430, 0.000, 6.865]],
  "species": ["Pr", "Dy", "Dy", "Th", "As", "As", "As", "As"],
  "fractional_positions": [[0.000, 0.000, 0.000], [0.500, 0.000, 0.500], [0.500, 0.500, 0.000], [0.000, 0.500, 0.500], [0.258, 0.000, 0.750], [0.259, 0.500, 0.256], [0.741, 0.500, 0.744], [0.742, 0.000, 0.250]]
}

---

{
  "formula": "PrDy2Th3As6",
  "functional": "PBE",
  "state": "optimized geometry",
  "volume_a3_per_cell": 319,
  "total_energy_ev_per_atom": -6.8099,
  "formation_energy_ev_per_atom": -1.465,
  "m_tot_mub_per_cell": 0.00,
  "cell": [[3.666, -6.340, 0.000], [3.666, 6.340, 0.000], [-2.444, 0.000, 6.854]],
  "species": ["Pr", "Dy", "Dy", "Th", "Th", "Th", "As", "As", "As", "As", "As", "As"],
  "fractional_positions": [[0.000, 0.000, 0.000], [0.333, 0.667, 0.000], [0.667, 0.333, 0.000], [0.165, 0.835, 0.500], [0.500, 0.500, 0.500], [0.835, 0.165, 0.500], [0.083, 0.422, 0.247], [0.258, 0.258, 0.755], [0.422, 0.083, 0.247], [0.578, 0.917, 0.753], [0.742, 0.742, 0.245], [0.917, 0.578, 0.753]]
}

---

{
  "formula": "Pr2DyTm3As6",
  "functional": "PBE",
  "state": "optimized geometry",
  "volume_a3_per_cell": 305,
  "total_energy_ev_per_atom": -6.1163,
  "formation_energy_ev_per_atom": -1.494,
  "m_tot_mub_per_cell": 0.00,
  "cell": [[9.053, -2.080, 0.000], [9.053, 2.080, 0.000], [-1.895, 0.000, 8.089]],
  "species": ["Pr", "Pr", "Dy", "Tm", "Tm", "Tm", "As", "As", "As", "As", "As", "As"],
  "fractional_positions": [[0.166, 0.166, 0.332], [0.834, 0.834, 0.668], [0.500, 0.500, 0.000], [0.167, 0.167, 0.834], [0.500, 0.500, 0.500], [0.833, 0.833, 0.166], [0.004, 0.004, 0.750], [0.333, 0.333, 0.927], [0.337, 0.337, 0.408], [0.663, 0.663, 0.592], [0.667, 0.667, 0.073], [0.996, 0.996, 0.250]]
}

---

{
  "formula": "PrDy2TmAs4",
  "functional": "PBE",
  "state": "optimized geometry",
  "volume_a3_per_cell": 203,
  "total_energy_ev_per_atom": -6.1356,
  "formation_energy_ev_per_atom": -1.504,
  "m_tot_mub_per_cell": 0.00,
  "cell": [[7.193, 0.000, 0.000], [0.000, 4.158, 0.000], [-2.399, 0.000, 6.785]],
  "species": ["Pr", "Dy", "Dy", "Tm", "As", "As", "As", "As"],
  "fractional_positions": [[0.000, 0.000, 0.000], [0.000, 0.500, 0.500], [0.500, 0.000, 0.500], [0.500, 0.500, 0.000], [0.256, 0.000, 0.749], [0.259, 0.500, 0.257], [0.741, 0.500, 0.743], [0.744, 0.000, 0.251]]
}

---

{
  "formula": "PrDy2UAs4",
  "functional": "PBE",
  "state": "optimized geometry",
  "volume_a3_per_cell": 203,
  "total_energy_ev_per_atom": -6.7945,
  "formation_energy_ev_per_atom": -1.311,
  "m_tot_mub_per_cell": 2.38,
  "cell": [[7.197, 0.000, 0.000], [0.000, 4.143, 0.000], [-2.366, 0.000, 6.801]],
  "species": ["Pr", "Dy", "Dy", "U", "As", "As", "As", "As"],
  "fractional_positions": [[0.000, 0.000, 0.000], [0.500, 0.000, 0.500], [0.500, 0.500, 0.000], [0.000, 0.500, 0.500], [0.252, 0.000, 0.744], [0.255, 0.500, 0.261], [0.745, 0.500, 0.739], [0.748, 0.000, 0.256]]
}

---

{
  "formula": "Pr2DyY3As6",
  "functional": "PBE",
  "state": "optimized geometry",
  "volume_a3_per_cell": 311,
  "total_energy_ev_per_atom": -6.6454,
  "formation_energy_ev_per_atom": -1.524,
  "m_tot_mub_per_cell": 0.00,
  "cell": [[9.120, -2.094, 0.000], [9.120, 2.094, 0.000], [-1.915, 0.000, 8.147]],
  "species": ["Pr", "Pr", "Dy", "Y", "Y", "Y", "As", "As", "As", "As", "As", "As"],
  "fractional_positions": [[0.166, 0.166, 0.332], [0.834, 0.834, 0.668], [0.500, 0.500, 0.000], [0.167, 0.167, 0.834], [0.500, 0.500, 0.500], [0.833, 0.833, 0.166], [0.003, 0.003, 0.752], [0.334, 0.334, 0.925], [0.336, 0.336, 0.411], [0.664, 0.664, 0.589], [0.666, 0.666, 0.075], [0.997, 0.997, 0.248]]
}

---

{
  "formula": "Pr2Dy3YAs6",
  "functional": "PBE",
  "state": "optimized geometry",
  "volume_a3_per_cell": 311,
  "total_energy_ev_per_atom": -6.3277,
  "formation_energy_ev_per_atom": -1.517,
  "m_tot_mub_per_cell": 0.00,
  "cell": [[9.118, -2.093, 0.000], [9.118, 2.093, 0.000], [-1.919, 0.000, 8.144]],
  "species": ["Pr", "Pr", "Dy", "Dy", "Dy", "Y", "As", "As", "As", "As", "As", "As"],
  "fractional_positions": [[0.166, 0.166, 0.332], [0.834, 0.834, 0.668], [0.167, 0.167, 0.834], [0.500, 0.500, 0.500], [0.833, 0.833, 0.166], [0.500, 0.500, 0.000], [0.003, 0.003, 0.751], [0.334, 0.334, 0.925], [0.336, 0.336, 0.410], [0.664, 0.664, 0.590], [0.666, 0.666, 0.075], [0.997, 0.997, 0.249]]
}

---

{
  "formula": "PrDy2Y3As6",
  "functional": "PBE",
  "state": "optimized geometry",
  "volume_a3_per_cell": 304,
  "total_energy_ev_per_atom": -6.6392,
  "formation_energy_ev_per_atom": -1.533,
  "m_tot_mub_per_cell": 0.00,
  "cell": [[3.598, -6.232, 0.000], [3.598, 6.232, 0.000], [-2.398, 0.000, 6.783]],
  "species": ["Pr", "Dy", "Dy", "Y", "Y", "Y", "As", "As", "As", "As", "As", "As"],
  "fractional_positions": [[0.000, 0.000, 0.000], [0.333, 0.667, 0.000], [0.667, 0.333, 0.000], [0.165, 0.835, 0.500], [0.500, 0.500, 0.500], [0.835, 0.165, 0.500], [0.085, 0.424, 0.253], [0.255, 0.255, 0.748], [0.424, 0.085, 0.253], [0.576, 0.915, 0.747], [0.745, 0.745, 0.252], [0.915, 0.576, 0.747]]
}

---

{
  "formula": "PrDy2YAs4",
  "functional": "PBE",
  "state": "optimized geometry",
  "volume_a3_per_cell": 205,
  "total_energy_ev_per_atom": -6.4035,
  "formation_energy_ev_per_atom": -1.523,
  "m_tot_mub_per_cell": 0.00,
  "cell": [[7.219, 0.000, 0.000], [0.000, 4.172, 0.000], [-2.407, 0.000, 6.807]],
  "species": ["Pr", "Dy", "Dy", "Y", "As", "As", "As", "As"],
  "fractional_positions": [[0.000, 0.000, 0.000], [0.000, 0.500, 0.500], [0.500, 0.000, 0.500], [0.500, 0.500, 0.000], [0.253, 0.000, 0.746], [0.258, 0.500, 0.258], [0.742, 0.500, 0.742], [0.747, 0.000, 0.254]]
}

---

{
  "formula": "Pr2DyYAs4",
  "functional": "PBE",
  "state": "optimized geometry",
  "volume_a3_per_cell": 212,
  "total_energy_ev_per_atom": -6.4192,
  "formation_energy_ev_per_atom": -1.516,
  "m_tot_mub_per_cell": 0.00,
  "cell": [[7.295, 0.000, 0.000], [0.000, 4.219, 0.000], [-2.437, 0.000, 6.886]],
  "species": ["Pr", "Pr", "Dy", "Y", "As", "As", "As", "As"],
  "fractional_positions": [[0.000, 0.000, 0.000], [0.000, 0.500, 0.500], [0.500, 0.000, 0.500], [0.500, 0.500, 0.000], [0.261, 0.000, 0.753], [0.261, 0.500, 0.254], [0.739, 0.000, 0.247], [0.739, 0.500, 0.746]]
}

---

{
  "formula": "Pr2DyZrAs4",
  "functional": "PBE",
  "state": "optimized geometry",
  "volume_a3_per_cell": 201,
  "total_energy_ev_per_atom": -6.5686,
  "formation_energy_ev_per_atom": -1.405,
  "m_tot_mub_per_cell": 0.00,
  "cell": [[7.162, 0.000, 0.000], [0.000, 4.135, 0.000], [-2.370, 0.000, 6.780]],
  "species": ["Pr", "Pr", "Dy", "Zr", "As", "As", "As", "As"],
  "fractional_positions": [[0.000, 0.000, 0.000], [0.500, 0.500, 0.000], [0.000, 0.500, 0.500], [0.500, 0.000, 0.500], [0.252, 0.000, 0.732], [0.264, 0.500, 0.272], [0.736, 0.500, 0.728], [0.748, 0.000, 0.268]]
}

---

{
  "formula": "Dy5As3Pt12",
  "functional": "PBE",
  "state": "optimized geometry",
  "volume_a3_per_cell": 1878,
  "total_energy_ev_per_atom": -5.7479,
  "formation_energy_ev_per_atom": -0.275,
  "m_tot_mub_per_cell": 0.00,
  "cell": [[-7.772, 7.772, 7.772], [7.772, -7.772, 7.772], [7.772, 7.772, -7.772]],
  "species": ["Dy", "Dy", "Dy", "Dy", "Dy", "Dy", "Dy", "Dy", "Dy", "Dy", "Dy", "Dy", "Dy", "Dy", "Dy", "Dy", "Dy", "Dy", "Dy", "Dy", "As", "As", "As", "As", "As", "As", "As", "As", "As", "As", "As", "As", "Pt", "Pt", "Pt", "Pt", "Pt", "Pt", "Pt", "Pt", "Pt", "Pt", "Pt", "Pt", "Pt", "Pt", "Pt", "Pt", "Pt", "Pt", "Pt", "Pt", "Pt", "Pt", "Pt", "Pt", "Pt", "Pt", "Pt", "Pt", "Pt", "Pt", "Pt", "Pt", "Pt", "Pt", "Pt", "Pt", "Pt", "Pt", "Pt", "Pt", "Pt", "Pt", "Pt", "Pt", "Pt", "Pt", "Pt", "Pt"],
  "fractional_positions": [[0.000, 0.000, 0.000], [0.000, 0.000, 0.500], [0.000, 0.500, 0.000], [0.000, 0.500, 0.500], [0.125, 0.750, 0.875], [0.125, 0.875, 0.250], [0.250, 0.125, 0.875], [0.250, 0.625, 0.375], [0.375, 0.250, 0.625], [0.375, 0.625, 0.750], [0.500, 0.000, 0.000], [0.500, 0.000, 0.500], [0.500, 0.500, 0.000], [0.500, 0.500, 0.500], [0.625, 0.375, 0.250], [0.625, 0.750, 0.375], [0.750, 0.375, 0.625], [0.750, 0.875, 0.125], [0.875, 0.125, 0.750], [0.875, 0.250, 0.125], [0.125, 0.250, 0.375], [0.125, 0.375, 0.750], [0.250, 0.375, 0.125], [0.250, 0.875, 0.625], [0.375, 0.125, 0.250], [0.375, 0.750, 0.125], [0.625, 0.250, 0.875], [0.625, 0.875, 0.750], [0.750, 0.125, 0.375], [0.750, 0.625, 0.875], [0.875, 0.625, 0.250], [0.875, 0.750, 0.625], [0.050, 0.631, 0.387], [0.050, 0.919, 0.663], [0.081, 0.245, 0.131], [0.081, 0.337, 0.950], [0.113, 0.745, 0.663], [0.113, 0.869, 0.450], [0.131, 0.081, 0.245], [0.131, 0.550, 0.887], [0.163, 0.245, 0.613], [0.163, 0.419, 0.550], [0.245, 0.131, 0.081], [0.245, 0.613, 0.163], [0.255, 0.337, 0.887], [0.255, 0.419, 0.369], [0.337, 0.887, 0.255], [0.337, 0.950, 0.081], [0.369, 0.255, 0.419], [0.369, 0.613, 0.950], [0.387, 0.050, 0.631], [0.387, 0.837, 0.755], [0.419, 0.369, 0.255], [0.419, 0.550, 0.163], [0.450, 0.113, 0.869], [0.450, 0.837, 0.581], [0.550, 0.163, 0.419], [0.550, 0.887, 0.131], [0.581, 0.450, 0.837], [0.581, 0.631, 0.745], [0.613, 0.163, 0.245], [0.613, 0.950, 0.369], [0.631, 0.387, 0.050], [0.631, 0.745, 0.581], [0.663, 0.050, 0.919], [0.663, 0.113, 0.745], [0.745, 0.581, 0.631], [0.745, 0.663, 0.113], [0.755, 0.387, 0.837], [0.755, 0.869, 0.919], [0.837, 0.581, 0.450], [0.837, 0.755, 0.387], [0.869, 0.450, 0.113], [0.869, 0.919, 0.755], [0.887, 0.131, 0.550], [0.887, 0.255, 0.337], [0.919, 0.663, 0.050], [0.919, 0.755, 0.869], [0.950, 0.081, 0.337], [0.950, 0.369, 0.613]]
}

---

{
  "formula": "Dy2AsPt3",
  "functional": "PBE",
  "state": "optimized geometry",
  "volume_a3_per_cell": 122,
  "total_energy_ev_per_atom": -6.4298,
  "formation_energy_ev_per_atom": -1.100,
  "m_tot_mub_per_cell": 0.00,
  "cell": [[3.596, 0.000, 0.000], [0.000, 4.395, 0.000], [0.000, 0.000, 7.729]],
  "species": ["Dy", "Dy", "As", "Pt", "Pt", "Pt"],
  "fractional_positions": [[0.000, 0.000, 0.000], [0.000, 0.500, 0.472], [0.500, 0.500, 0.809], [0.500, 0.000, 0.326], [0.500, 0.000, 0.673], [0.500, 0.500, 0.129]]
}

---

{
  "formula": "Dy3As2PtRh9",
  "functional": "PBE",
  "state": "optimized geometry",
  "volume_a3_per_cell": 298,
  "total_energy_ev_per_atom": -6.7087,
  "formation_energy_ev_per_atom": -0.355,
  "m_tot_mub_per_cell": 0.00,
  "cell": [[5.515, 0.000, 0.000], [-2.757, 4.776, 0.000], [0.000, 0.000, 11.317]],
  "species": ["Dy", "Dy", "Dy", "As", "As", "Pt", "Rh", "Rh", "Rh", "Rh", "Rh", "Rh", "Rh", "Rh", "Rh"],
  "fractional_positions": [[0.000, 0.000, 0.000], [0.333, 0.667, 0.572], [0.667, 0.333, 0.428], [0.333, 0.667, 0.161], [0.667, 0.333, 0.839], [0.000, 0.000, 0.500], [0.000, 0.500, 0.000], [0.163, 0.325, 0.315], [0.163, 0.837, 0.315], [0.325, 0.163, 0.685], [0.500, 0.000, 0.000], [0.500, 0.500, 0.000], [0.675, 0.837, 0.315], [0.837, 0.163, 0.685], [0.837, 0.675, 0.685]]
}